[1]
PBEsol LaAl2Cd, relaxed; uncorrected energy = -15.3 eV/cell; energy of formation = -0.154 eV per atom
1.0
-1.533 2.676 -1.461
1.711 -1.196 -3.986
-4.049 -4.677 -0.335
Al Cd La
2 1 1
direct
0.684 0.500 0.369
0.806 0.000 0.612
0.093 0.000 0.185
0.419 0.500 0.838

[2]
PBEsol NaGa2Si2, relaxed; uncorrected energy = -19.8 eV/cell; relative energy among the computed polymorphs = 0 meV/atom
1.0
4.453 0.000 0.000
0.000 4.453 0.000
-2.227 -2.227 4.825
Na Si Ga
1 2 2
direct
0.000 0.000 0.000
0.378 0.378 0.756
0.622 0.622 0.244
0.750 0.250 0.500
0.250 0.750 0.500